# ZrTi5Sn6, relaxed, DFT PBE-GGA
# Formation energy, eV per atom: -0.2061
# Magnetic moment, μB per cell: 0.0
# Mass density, g cm⁻³: 6.967
# Calculated volume, Å³/atom: 20.7
data_ZrTi5Sn6
_cell_length_a 5.513
_cell_length_b 14.814
_cell_length_c 6.240
_cell_angle_alpha 90.00
_cell_angle_beta 102.69
_cell_angle_gamma 90.00
_space_group_name_H-M_alt 'C 1 2/m 1'
_space_group_IT_number 12
loop_
_space_group_symop_operation_xyz
'x,y,z'
'-x,-y,-z'
'-x,y,-z'
'x,-y,z'
'x+1/2,y+1/2,z'
'-x+1/2,-y+1/2,-z'
'-x+1/2,y+1/2,-z'
'x+1/2,-y+1/2,z'
loop_
_atom_site_label
_atom_site_fract_x
_atom_site_fract_y
_atom_site_fract_z
Zr1 0.000 0.000 0.000
Ti1 0.000 0.000 0.500
Ti2 0.000 0.335 0.000
Ti3 0.000 0.336 0.500
Sn1 0.003 0.171 0.745
Sn2 0.014 0.500 0.252

=====

# PrYPtBr, relaxed, DFT PBE-GGA
# Magnetic moment, μB per cell: 0.0
# Mass density, g cm⁻³: 7.242
# ΔE_f (raw), eV/atom: -1.2184
# Calculated volume, Å³/atom: 28.9
data_PrYPtBr
_cell_length_a 4.1313
_cell_length_b 4.1313
_cell_length_c 23.4907
_cell_angle_alpha 90.00
_cell_angle_beta 90.00
_cell_angle_gamma 120.00
_space_group_name_H-M_alt 'R 3 m'
_space_group_IT_number 160
_space_group_name_Hall 'R 3 -2"'
loop_
_atom_site_label
_atom_site_fract_x
_atom_site_fract_y
_atom_site_fract_z
Pr1 0.0000 0.0000 0.0000
Y1 0.0000 0.0000 0.7994
Pt1 0.0000 0.0000 0.4038
Br1 0.0000 0.0000 0.2293

=====

# PmThRh, relaxed, DFT PBE-GGA
# Formation energy, eV per atom: -0.5114
# Magnetic moment, μB per cell: 0.0
# Energy above the lowest structure with this stoichiometry, eV/atom: 0.000
# Mass density, g cm⁻³: 9.230
# Calculated volume, Å³/atom: 28.8
data_PmThRh
_cell_length_a 5.122
_cell_length_b 5.122
_cell_length_c 6.581
_cell_angle_alpha 90.00
_cell_angle_beta 90.00
_cell_angle_gamma 90.00
_space_group_name_H-M_alt 'P 4/n m m'
_space_group_IT_number 129
loop_
_space_group_symop_operation_xyz
'x,y,z'
'-x,-y,-z'
'-y+1/2,x,z'
'y+1/2,-x,-z'
'-x+1/2,-y+1/2,z'
'x+1/2,y+1/2,-z'
'y,-x+1/2,z'
'-y,x+1/2,-z'
'x+1/2,-y,-z'
'-x+1/2,y,z'
'-y,-x,-z'
'y,x,z'
'-x,y+1/2,-z'
'x,-y+1/2,z'
'y+1/2,x+1/2,-z'
'-y+1/2,-x+1/2,z'
loop_
_atom_site_label
_atom_site_fract_x
_atom_site_fract_y
_atom_site_fract_z
Pm1 0.250 0.250 0.112
Th1 0.250 0.750 0.500
Rh1 0.250 0.250 0.681

=====

# Ba2NbS4, relaxed, DFT PBE-GGA
# Magnetic moment, μB per cell: 2.0
# Mass density, g cm⁻³: 3.925
# ΔE_f (raw), eV/atom: -1.5468
# Calculated volume, Å³/atom: 30.0
data_Ba2NbS4
_cell_length_a 7.253
_cell_length_b 6.865
_cell_length_c 8.877
_cell_angle_alpha 90.00
_cell_angle_beta 108.36
_cell_angle_gamma 90.00
_space_group_name_H-M_alt 'P 1 21/m 1'
_space_group_IT_number 11
loop_
_space_group_symop_operation_xyz
'x,y,z'
'-x,-y,-z'
'-x,y+1/2,-z'
'x,-y+1/2,z'
loop_
_atom_site_label
_atom_site_fract_x
_atom_site_fract_y
_atom_site_fract_z
Ba1 0.220 0.250 0.051
Ba2 0.277 0.250 0.569
Nb1 0.233 0.750 0.799
S1 0.008 0.004 0.738
S2 0.399 0.750 0.071
S3 0.424 0.750 0.629

=====

# PuAg2Pb3Se6, relaxed, DFT PBE-GGA
# Magnetic moment, μB per cell: 8.0
# Mass density, g cm⁻³: 8.043
# ΔE_f (raw), eV/atom: -0.5739
# Calculated volume, Å³/atom: 26.8
data_PuAg2Pb3Se6
_cell_length_a 7.253
_cell_length_b 12.592
_cell_length_c 7.402
_cell_angle_alpha 90.00
_cell_angle_beta 108.23
_cell_angle_gamma 90.00
_space_group_name_H-M_alt 'C 1 2/m 1'
_space_group_IT_number 12
loop_
_space_group_symop_operation_xyz
'x,y,z'
'-x,-y,-z'
'-x,y,-z'
'x,-y,z'
'x+1/2,y+1/2,z'
'-x+1/2,-y+1/2,-z'
'-x+1/2,y+1/2,-z'
'x+1/2,-y+1/2,z'
loop_
_atom_site_label
_atom_site_fract_x
_atom_site_fract_y
_atom_site_fract_z
Pu1 0.000 0.000 0.000
Ag1 0.000 0.329 0.000
Pb1 0.000 0.164 0.500
Pb2 0.000 0.500 0.500
Se1 0.243 0.162 0.224
Se2 0.246 0.000 0.760

=====

# Mg5HIr3, relaxed, DFT PBE-GGA
# Magnetic moment, μB per cell: 0.0
# Energy above the lowest structure with this stoichiometry, eV/atom: 0.043
# Mass density, g cm⁻³: 8.157
# Calculated volume, Å³/atom: 15.8
data_Mg5HIr3
_cell_length_a 4.215
_cell_length_b 4.963
_cell_length_c 7.804
_cell_angle_alpha 82.34
_cell_angle_beta 74.40
_cell_angle_gamma 64.88
_space_group_name_H-M_alt 'P 1'
_space_group_IT_number 1
loop_
_space_group_symop_operation_xyz
'x,y,z'
loop_
_atom_site_label
_atom_site_fract_x
_atom_site_fract_y
_atom_site_fract_z
Mg1 0.000 0.000 0.000
Mg2 0.077 0.265 0.582
Mg3 0.633 0.532 0.201
Mg4 0.715 0.775 0.794
Mg5 0.859 0.891 0.391
H1 0.489 0.340 0.684
Ir1 0.324 0.127 0.226
Ir2 0.347 0.388 0.918
Ir3 0.381 0.677 0.563